Entry from Alexandria: an optimized crystal structure of LiPuIrRh (PBE).

Lattice parameters (Å, degrees): 3.7444 4.1347 4.2135 90.00 90.00 90.00
Fractional coordinates of all 4 atoms:
1 Li 0.0000 0.0000 0.0000
2 Pu 0.0000 0.5000 0.5000
3 Ir 0.5000 0.0000 0.5000
4 Rh 0.5000 0.5000 0.0000

Calculated values
DFT formation energy = -0.379 eV/atom
ρ = 13.9 Mg/m³
offset from the most stable computed form = 0.003 eV per atom
space group = No. 47